The following is a DFT calculation (GGA-PBE) of a relaxed structure of Hf2MgTl.

Structure (POSCAR):
```
Hf2MgTl
1.0
-0.175 5.044 0.099
-1.028 2.574 -4.220
-4.425 2.382 -0.489
Mg Hf Tl
1 2 1
Direct
0.500 0.500 0.500
0.000 0.000 0.000
0.250 0.250 0.250
0.750 0.750 0.750
```

As for the space group: F-43m, No. 216. The value obtained for the calculated volume is 91.0 Å³/cell. The calculated formation energy comes out at 0.3833 eV/atom. For the total magnetization, the calculation gives 2.40 μB per formula unit. The final energy comes out at -5.584 eV per atom. For the density of states at the Fermi level, the calculation gives 0.7365 states/eV per atom.